# NpAl4Ir

NpAl4Ir after structural relaxation (PBE, Alexandria via LeMat-Bulk).

Results
Space-group type: Fmmm (69)
D(E_F), states/eV/f.u.: 9.36
Energy of formation, eV per atom: -0.129

The structure in POSCAR format:
```
NpAl4Ir
1.0
0.0000 4.5874 5.6838
4.5769 0.0000 5.6838
4.5769 4.5874 0.0000
Np Al Ir
2 8 2
Direct
0.0000 0.0000 0.5000
0.5000 0.5000 0.0000
0.0146 0.3086 0.6914
0.1910 0.4856 0.8090
0.3086 0.0146 0.9854
0.4856 0.1910 0.5144
0.5144 0.8090 0.4856
0.6914 0.9854 0.0146
0.8090 0.5144 0.1910
0.9854 0.6914 0.3086
0.2500 0.2500 0.2500
0.7500 0.7500 0.7500
```